Entry 1:
Na2Mg2Cu: optimized geometry, GGA-PBE.

Results
Formation enthalpy at 0 K   0.85 eV per formula unit
M_tot   0.00 μB per formula unit
Crystal system   tetragonal
Uncorrected energy   -1.8140 eV per atom

a b c (Å): 6.875 6.875 5.487
angles (deg): 90.00 90.00 90.00
Positions (direct):
Na1 0.174 0.326 0.000
Na2 0.326 0.826 0.000
Na3 0.674 0.174 0.000
Na4 0.826 0.674 0.000
Mg1 0.157 0.657 0.500
Mg2 0.343 0.157 0.500
Mg3 0.657 0.843 0.500
Mg4 0.843 0.343 0.500
Cu1 0.000 0.000 0.500
Cu2 0.500 0.500 0.500

=====

Entry 2:
MgTi2BOs: optimized geometry, GGA-PBE.

Results
Formation enthalpy at 0 K   8.56 eV per formula unit
M_tot   0.00 μB per formula unit
Crystal system   tetragonal
Uncorrected energy   -5.3460 eV per atom

a b c (Å): 4.623 4.623 3.810
angles (deg): 90.00 90.00 90.00
Positions (direct):
Mg1 0.000 0.000 0.000
Ti1 0.000 0.500 0.000
Ti2 0.500 0.000 0.000
B1 0.000 0.000 0.500
Os1 0.500 0.500 0.500

=====

Entry 3:
Li3InAg4: optimized geometry, GGA-PBE.

Results
Formation enthalpy at 0 K   -0.96 eV per formula unit
Relative energy among the computed polymorphs   68 meV/atom
M_tot   0.00 μB per formula unit
Crystal system   orthorhombic
Uncorrected energy   -2.6051 eV per atom

a b c (Å): 6.132 6.132 6.132
angles (deg): 125.75 77.92 128.68
Positions (direct):
Li1 0.000 0.000 0.000
Li2 0.500 0.742 0.758
Li3 0.983 0.742 0.242
In1 0.986 0.486 0.500
Ag1 0.000 0.242 0.758
Ag2 0.484 0.236 0.752
Ag3 0.484 0.242 0.242
Ag4 0.484 0.732 0.248

=====

Entry 4:
Pr12GaCo6: optimized geometry, GGA-PBE.

Results
Formation enthalpy at 0 K   -1.94 eV per formula unit
M_tot   0.00 μB per formula unit
Crystal system   cubic
Uncorrected energy   -5.5242 eV per atom

a b c (Å): 8.695 8.695 8.695
angles (deg): 109.47 109.47 109.47
Positions (direct):
Pr1 0.113 0.304 0.808
Pr2 0.192 0.496 0.304
Pr3 0.192 0.887 0.696
Pr4 0.304 0.192 0.496
Pr5 0.304 0.808 0.113
Pr6 0.496 0.304 0.192
Pr7 0.504 0.696 0.808
Pr8 0.696 0.192 0.887
Pr9 0.696 0.808 0.504
Pr10 0.808 0.113 0.304
Pr11 0.808 0.504 0.696
Pr12 0.887 0.696 0.192
Ga1 0.000 0.000 0.000
Co1 0.111 0.500 0.611
Co2 0.389 0.889 0.500
Co3 0.500 0.389 0.889
Co4 0.500 0.611 0.111
Co5 0.611 0.111 0.500
Co6 0.889 0.500 0.389

=====

Entry 5:
Ca2YSnC: optimized geometry, GGA-PBE.

Results
Formation enthalpy at 0 K   -1.71 eV per formula unit
M_tot   0.00 μB per formula unit
Crystal system   tetragonal
Uncorrected energy   -5.0802 eV per atom

a b c (Å): 5.022 5.022 4.890
angles (deg): 90.00 90.00 90.00
Positions (direct):
Ca1 0.000 0.500 0.000
Ca2 0.500 0.000 0.000
Y1 0.000 0.000 0.500
Sn1 0.500 0.500 0.500
C1 0.000 0.000 0.000

=====

Entry 6:
PmAlIrN: optimized geometry, GGA-PBE.

Results
Raw formation energy   -380.1 kJ/mol of formula units
M_tot   0.00 μB per formula unit
Crystal system   tetragonal
Uncorrected energy   -7.4047 eV per atom

a b c (Å): 3.944 3.944 8.682
angles (deg): 90.00 90.00 90.00
Positions (direct):
Pm1 0.250 0.250 0.146
Pm2 0.750 0.750 0.854
Al1 0.250 0.250 0.667
Al2 0.750 0.750 0.333
Ir1 0.250 0.750 0.500
Ir2 0.750 0.250 0.500
N1 0.250 0.250 0.880
N2 0.750 0.750 0.120

=====

Entry 7:
K2PCl6: optimized geometry, GGA-PBE.

Results
Raw formation energy   -943.3 kJ/mol of formula units
M_tot   0.90 μB per formula unit
Crystal system   tetragonal
Uncorrected energy   -3.1624 eV per atom

a b c (Å): 6.689 6.689 12.991
angles (deg): 90.00 90.00 90.00
Positions (direct):
K1 0.000 0.000 0.166
K2 0.000 0.000 0.834
K3 0.500 0.500 0.334
K4 0.500 0.500 0.666
P1 0.000 0.000 0.500
P2 0.500 0.500 0.000
Cl1 0.171 0.171 0.374
Cl2 0.171 0.171 0.626
Cl3 0.243 0.757 0.500
Cl4 0.257 0.257 0.000
Cl5 0.329 0.671 0.126
Cl6 0.329 0.671 0.874
Cl7 0.671 0.329 0.126
Cl8 0.671 0.329 0.874
Cl9 0.743 0.743 0.000
Cl10 0.757 0.243 0.500
Cl11 0.829 0.829 0.374
Cl12 0.829 0.829 0.626

=====

Entry 8:
ZnMoS2Cl: optimized geometry, GGA-PBE.

Results
Relative energy among the computed polymorphs   624 meV/atom
Raw formation energy   287.7 kJ/mol of formula units
M_tot   3.27 μB per formula unit
Crystal system   tetragonal
Uncorrected energy   -3.8449 eV per atom

a b c (Å): 4.734 4.734 4.606
angles (deg): 90.00 90.00 90.00
Positions (direct):
Zn1 0.000 0.000 0.000
Mo1 0.500 0.500 0.500
S1 0.000 0.500 0.000
S2 0.500 0.000 0.000
Cl1 0.000 0.000 0.500